An optimized crystal structure of SrCoSi. Source: Alexandria, functional PBE.

**Raw formation energy**: -0.26 eV/atom
**Calculated total energy**: -0.184 hartree per atom

a = 3.9502 Å, b = 3.9502 Å, c = 4.7629 Å
α = 90.00°, β = 90.00°, γ = 120.00°
Space group P-6m2 (No. 187)
Symmetry-distinct sites (fractional):
Sr 0.0000 0.0000 0.0000 x1
Co 0.6667 0.3333 0.5000 x1
Si 0.3333 0.6667 0.5000 x1



An optimized crystal structure of Sr2CoSi. Source: Alexandria, functional PBE.

**Raw formation energy**: -0.08 eV/atom
**Calculated total energy**: -0.149 hartree per atom

a = 11.046 Å, b = 11.046 Å, c = 4.369 Å
α = 90.00°, β = 90.00°, γ = 90.00°
Space group I-42d (No. 122)
Symmetry-distinct sites (fractional):
Sr 0.062 0.250 0.125 x8
Co 0.000 0.000 0.000 x4
Si 0.000 0.000 0.500 x4



An optimized crystal structure of Sr2Co2Si. Source: Alexandria, functional PBE.

**Raw formation energy**: 0.21 eV/atom
**Calculated total energy**: -0.161 hartree per atom

a = 3.423 Å, b = 3.423 Å, c = 19.259 Å
α = 90.00°, β = 90.00°, γ = 90.00°
Space group I4/mmm (No. 139)
Symmetry-distinct sites (fractional):
Sr 0.000 0.000 0.111 x4
Co 0.000 0.500 0.250 x4
Si 0.000 0.000 0.500 x2



An optimized crystal structure of SrCoSi. Source: Alexandria, functional PBE.

**Raw formation energy**: 0.31 eV/atom
**Calculated total energy**: -0.163 hartree per atom

a = 6.327 Å, b = 6.327 Å, c = 6.327 Å
α = 90.00°, β = 90.00°, γ = 90.00°
Space group F-43m (No. 216)
Symmetry-distinct sites (fractional):
Sr 0.000 0.000 0.000 x4
Co 0.250 0.250 0.250 x4
Si 0.000 0.000 0.500 x4